Material: SmAl4Ni2Pt
Method: DFT, GGA-PBE
State: relaxed Values from VASP.

Formation energy in eV per atom: -0.641
Volume in A^3/atom: 16.7
Density of states at the Fermi level in states/eV/cell: 4.3

Cell and atoms, written as Quantum ESPRESSO input:
```
&SYSTEM
  ibrav = 0, nat = 8, ntyp = 4
/
ATOMIC_SPECIES
Al 26.98 Al.upf
Sm 150.36 Sm.upf
Ni 58.69 Ni.upf
Pt 195.08 Pt.upf
ATOMIC_POSITIONS crystal
Al 0.871 0.871 0.388
Sm 0.000 0.000 0.000
Al 0.129 0.129 0.612
Al 0.595 0.595 0.215
Ni 0.769 0.769 0.693
Pt 0.500 0.500 0.500
Al 0.405 0.405 0.785
Ni 0.231 0.231 0.307
CELL_PARAMETERS angstrom
-2.869 0.120 2.991
-0.775 -3.385 2.267
5.046 1.432 7.657
```

Material: Sm2Al2NiPt5
Method: DFT, GGA-PBE
State: relaxed Values from VASP.

Formation energy in eV per atom: -0.819
Volume in A^3/atom: 17.7
Density of states at the Fermi level in states/eV/cell: 5.8

Cell and atoms, written as Quantum ESPRESSO input:
```
&SYSTEM
  ibrav = 0, nat = 20, ntyp = 4
/
ATOMIC_SPECIES
Pt 195.08 Pt.upf
Ni 58.69 Ni.upf
Sm 150.36 Sm.upf
Al 26.98 Al.upf
ATOMIC_POSITIONS crystal
Pt 0.500 0.300 0.560
Pt 0.500 0.000 0.500
Ni 0.000 0.500 0.500
Sm 0.000 0.823 0.677
Al 0.000 0.123 0.623
Al 0.000 0.377 0.123
Pt 0.500 0.200 0.060
Al 0.000 0.877 0.377
Pt 0.500 0.940 0.200
Sm 0.000 0.177 0.323
Pt 0.500 0.700 0.440
Pt 0.500 0.060 0.800
Sm 0.000 0.677 0.177
Pt 0.500 0.560 0.700
Al 0.000 0.623 0.877
Pt 0.500 0.440 0.300
Sm 0.000 0.323 0.823
Ni 0.000 0.000 0.000
Pt 0.500 0.500 0.000
Pt 0.500 0.800 0.940
CELL_PARAMETERS angstrom
-3.611 0.488 -0.329
-0.679 -8.415 -5.044
-1.430 -4.918 8.396
```

Material: AlNi7Sn2Pt2
Method: DFT, GGA-PBE
State: relaxed Values from VASP.

Formation energy in eV per atom: -0.182
Volume in A^3/atom: 14.1
Density of states at the Fermi level in states/eV/cell: 10.8

Cell and atoms, written as Quantum ESPRESSO input:
```
&SYSTEM
  ibrav = 0, nat = 12, ntyp = 4
/
ATOMIC_SPECIES
Ni 58.69 Ni.upf
Pt 195.08 Pt.upf
Sn 118.71 Sn.upf
Al 26.98 Al.upf
ATOMIC_POSITIONS crystal
Ni 0.935 0.435 0.129
Pt 0.365 0.365 0.267
Ni 0.500 0.500 0.000
Ni 0.729 0.729 0.542
Sn 0.817 0.817 0.362
Al 0.000 0.000 0.000
Ni 0.065 0.565 0.871
Ni 0.565 0.065 0.871
Ni 0.271 0.271 0.458
Sn 0.183 0.183 0.638
Ni 0.435 0.935 0.129
Pt 0.635 0.635 0.733
CELL_PARAMETERS angstrom
-0.974 -1.344 3.041
2.245 -2.603 -0.431
10.593 5.517 7.821
```

Material: Ta2Al2Ni7Pt
Method: DFT, GGA-PBE
State: relaxed Values from VASP.

Formation energy in eV per atom: 0.012
Volume in A^3/atom: 14.0
Density of states at the Fermi level in states/eV/cell: 13.3

Cell and atoms, written as Quantum ESPRESSO input:
```
&SYSTEM
  ibrav = 0, nat = 12, ntyp = 4
/
ATOMIC_SPECIES
Ni 58.69 Ni.upf
Al 26.98 Al.upf
Pt 195.08 Pt.upf
Ta 180.95 Ta.upf
ATOMIC_POSITIONS crystal
Ni 0.564 0.064 0.863
Ni 0.064 0.564 0.863
Al 0.184 0.184 0.616
Al 0.816 0.816 0.384
Pt 0.000 0.000 0.000
Ta 0.376 0.376 0.265
Ni 0.436 0.936 0.137
Ni 0.936 0.436 0.137
Ni 0.500 0.500 0.000
Ni 0.717 0.717 0.551
Ni 0.283 0.283 0.449
Ta 0.624 0.624 0.735
CELL_PARAMETERS angstrom
3.380 -0.002 -0.011
0.002 3.380 -0.011
1.631 1.629 14.692
```

Material: TbAlNiPt
Method: DFT, GGA-PBE
State: relaxed Values from VASP.

Formation energy in eV per atom: -0.727
Volume in A^3/atom: 17.2
Density of states at the Fermi level in states/eV/cell: 2.9

Cell and atoms, written as Quantum ESPRESSO input:
```
&SYSTEM
  ibrav = 0, nat = 4, ntyp = 4
/
ATOMIC_SPECIES
Pt 195.08 Pt.upf
Tb 158.93 Tb.upf
Ni 58.69 Ni.upf
Al 26.98 Al.upf
ATOMIC_POSITIONS crystal
Pt 0.250 0.250 0.250
Tb 0.000 0.000 0.000
Ni 0.750 0.750 0.750
Al 0.500 0.500 0.500
CELL_PARAMETERS angstrom
-2.174 3.189 2.506
-0.587 -0.631 4.520
2.358 2.565 3.006
```

Material: Al2NiTePt
Method: DFT, GGA-PBE
State: relaxed Values from VASP.

Raw formation energy in meV/atom: 1011
Volume in A^3/atom: 24.2
Density of states at the Fermi level in states/eV/cell: 2.5

Cell and atoms, written as Quantum ESPRESSO input:
```
&SYSTEM
  ibrav = 0, nat = 5, ntyp = 4
/
ATOMIC_SPECIES
Te 127.60 Te.upf
Ni 58.69 Ni.upf
Al 26.98 Al.upf
Pt 195.08 Pt.upf
ATOMIC_POSITIONS crystal
Te 0.000 0.000 0.000
Ni 0.000 0.500 0.000
Al 0.500 0.000 0.000
Pt 0.500 0.500 0.500
Al 0.000 0.000 0.500
CELL_PARAMETERS angstrom
5.191 0.000 0.000
0.000 4.486 0.000
0.000 0.000 5.191
```